Record 1
{
  "formula": "YbPa3",
  "functional": "PBE-GGA",
  "state": "optimized geometry",
  "crystal_system": "cubic",
  "ef_ev_per_atom": 0.2634,
  "e_tot_ev_per_cell": -28.96,
  "cell": [[-0.461, 3.957, 2.468], [-4.558, 0.143, -1.082], [-0.989, -2.507, 3.834]],
  "species": ["Pa", "Yb", "Pa", "Pa"],
  "frac_coords": [[0.500, 0.000, 0.500], [0.000, 0.000, 0.000], [0.000, 0.500, 0.500], [0.500, 0.500, 0.000]]
}

Record 2
{
  "formula": "Zr2C3",
  "functional": "PBE-GGA",
  "state": "optimized geometry",
  "e_above_lowest_polymorph_mev_per_atom": 469,
  "crystal_system": "trigonal",
  "ef_ev_per_atom": 0.6039,
  "e_tot_ev_per_cell": -41.75,
  "cell": [[1.982, -3.432, 0.000], [1.982, 3.432, 0.000], [0.000, 0.000, 4.760]],
  "species": ["Zr", "C", "C", "C", "Zr"],
  "frac_coords": [[0.333, 0.667, 0.757], [0.000, 0.000, 0.000], [0.667, 0.333, 0.722], [0.333, 0.667, 0.278], [0.667, 0.333, 0.243]]
}

Record 3
{
  "formula": "TaNi2Pd",
  "functional": "PBE-GGA",
  "state": "optimized geometry",
  "e_above_lowest_polymorph_mev_per_atom": 138,
  "crystal_system": "orthorhombic",
  "ef_ev_per_atom": -0.1200,
  "e_tot_ev_per_cell": -58.18,
  "cell": [[4.312, 0.000, 0.000], [-2.156, 5.181, 0.000], [0.000, 0.000, 5.101]],
  "species": ["Ni", "Ni", "Ta", "Pd", "Ni", "Ni", "Ta", "Pd"],
  "frac_coords": [[0.389, 0.777, 0.974], [0.389, 0.777, 0.526], [0.802, 0.604, 0.750], [0.069, 0.139, 0.750], [0.611, 0.223, 0.026], [0.611, 0.223, 0.474], [0.198, 0.396, 0.250], [0.931, 0.861, 0.250]]
}

What did the second record say?
{
  "formula": "Zr2C3",
  "functional": "PBE-GGA",
  "state": "optimized geometry",
  "e_above_lowest_polymorph_mev_per_atom": 469,
  "crystal_system": "trigonal",
  "ef_ev_per_atom": 0.6039,
  "e_tot_ev_per_cell": -41.75,
  "cell": [[1.982, -3.432, 0.000], [1.982, 3.432, 0.000], [0.000, 0.000, 4.760]],
  "species": ["Zr", "C", "C", "C", "Zr"],
  "frac_coords": [[0.333, 0.667, 0.757], [0.000, 0.000, 0.000], [0.667, 0.333, 0.722], [0.333, 0.667, 0.278], [0.667, 0.333, 0.243]]
}